(1)
# Dy2Ni2B2PC

A relaxed structure of Dy2Ni2B2PC (PBE, the Open Quantum Materials Database).

Cell: 3.787 3.787 7.607 Å, 90.00 90.00 90.00°
Atoms (fractional coordinates):
Dy 0.000 0.000 0.000
Dy 0.500 0.500 0.350
Ni 0.000 0.500 0.698
Ni 0.500 0.000 0.698
B 0.000 0.000 0.608
B 0.500 0.500 0.837
P 0.000 0.000 0.355
C 0.500 0.500 0.033

Properties
VASP energy in eV per atom: -6.625
Space group: P4mm
Mass density in Mg/m³: 7.72
Volume in Å³ per cell: 109

(2)
# DyScNi2B2C2

A relaxed structure of DyScNi2B2C2 (PBE, the Open Quantum Materials Database).

Cell: 3.506 3.506 7.487 Å, 90.00 90.00 90.00°
Atoms (fractional coordinates):
Dy 0.000 0.000 0.000
Sc 0.500 0.500 0.682
Ni 0.000 0.500 0.339
Ni 0.500 0.000 0.339
B 0.000 0.000 0.485
B 0.500 0.500 0.185
C 0.000 0.000 0.683
C 0.500 0.500 0.984

Properties
VASP energy in eV per atom: -7.247
Space group: P4mm
Mass density in Mg/m³: 6.68
Volume in Å³ per cell: 92

(3)
# SmDyNi2B2C2

A relaxed structure of SmDyNi2B2C2 (PBE, the Open Quantum Materials Database).

Cell: 3.635 3.635 7.544 Å, 90.00 90.00 90.00°
Atoms (fractional coordinates):
Sm 0.000 0.000 0.000
Dy 0.500 0.500 0.662
Ni 0.000 0.500 0.332
Ni 0.500 0.000 0.332
B 0.000 0.000 0.472
B 0.500 0.500 0.185
C 0.000 0.000 0.670
C 0.500 0.500 0.987

Properties
VASP energy in eV per atom: -7.008
Space group: P4mm
Mass density in Mg/m³: 7.93
Volume in Å³ per cell: 100

(4)
# Sm2DyNi2B2C3

A relaxed structure of Sm2DyNi2B2C3 (PBE, the Open Quantum Materials Database).

Cell: 10.535 10.535 10.535 Å, 160.03 160.03 28.38°
Atoms (fractional coordinates):
Sm 0.125 0.125 0.000
Sm 0.875 0.875 0.000
Dy 0.500 0.500 0.000
Ni 0.250 0.750 0.500
Ni 0.750 0.250 0.500
B 0.302 0.302 0.000
B 0.698 0.698 0.000
C 0.000 0.000 0.000
C 0.375 0.375 0.000
C 0.625 0.625 0.000

Properties
VASP energy in eV per atom: -6.972
Space group: I4/mmm
Mass density in Mg/m³: 7.78
Volume in Å³ per cell: 136

(5)
# TbDy2Ni2B2C3

A relaxed structure of TbDy2Ni2B2C3 (PBE, the Open Quantum Materials Database).

Cell: 10.499 10.499 10.499 Å, 160.32 160.32 27.97°
Atoms (fractional coordinates):
Tb 0.000 0.000 0.000
Dy 0.377 0.377 0.000
Dy 0.623 0.623 0.000
Ni 0.250 0.750 0.500
Ni 0.750 0.250 0.500
B 0.197 0.197 0.000
B 0.803 0.803 0.000
C 0.124 0.124 0.000
C 0.500 0.500 0.000
C 0.876 0.876 0.000

Properties
VASP energy in eV per atom: -7.014
Space group: I4/mmm
Mass density in Mg/m³: 8.34
Volume in Å³ per cell: 131

(6)
# Tb2DyNi2B2C3

A relaxed structure of Tb2DyNi2B2C3 (PBE, the Open Quantum Materials Database).

Cell: 10.492 10.492 10.492 Å, 160.27 160.27 28.05°
Atoms (fractional coordinates):
Tb 0.123 0.123 0.000
Tb 0.877 0.877 0.000
Dy 0.500 0.500 0.000
Ni 0.250 0.750 0.500
Ni 0.750 0.250 0.500
B 0.304 0.304 0.000
B 0.696 0.696 0.000
C 0.000 0.000 0.000
C 0.376 0.376 0.000
C 0.624 0.624 0.000

Properties
VASP energy in eV per atom: -7.013
Space group: I4/mmm
Mass density in Mg/m³: 8.27
Volume in Å³ per cell: 132